# 1
La11Tb9Sm4: optimized geometry, PBE.

Cell: 15.6140 15.6140 3.7394 Å, 90.00 90.00 112.87°
Closest atoms and distances in Å follow each position.
Element x y z (fractional)
1 La 0.0000 0.0000 0.0000  8 Tb 3.59, 2 La 3.74
2 La 0.0444 0.4060 0.0000  2 Sm 3.47, 6 Tb 3.60-3.80, 3 La 3.70-3.74
3 La 0.1588 0.8412 0.0000  5 La 3.74-4.13, 8 Tb 3.78-3.79
4 La 0.2920 0.2920 0.0000  4 Sm 3.35, 4 Tb 3.74, 2 La 3.74
5 La 0.3676 0.6324 0.0000  4 Sm 3.38, 4 Tb 3.69, 2 La 3.74
6 La 0.4060 0.0444 0.0000  2 Sm 3.47, 6 Tb 3.60-3.80, 3 La 3.70-3.74
7 La 0.5940 0.9556 0.0000  2 Sm 3.47, 6 Tb 3.60-3.80, 3 La 3.70-3.74
8 La 0.6324 0.3676 0.0000  4 Sm 3.38, 4 Tb 3.69, 2 La 3.74
9 La 0.7080 0.7080 0.0000  4 Sm 3.35, 4 Tb 3.74, 2 La 3.74
10 La 0.8412 0.1588 0.0000  5 La 3.74-4.13, 8 Tb 3.78-3.79
11 La 0.9556 0.5940 0.0000  2 Sm 3.47, 6 Tb 3.60-3.80, 3 La 3.70-3.74
12 Tb 0.0672 0.2123 0.5000  8 La 3.59-3.79, 1 Sm 3.61, 3 Tb 3.74-3.78
13 Tb 0.1645 0.6333 0.5000  3 Tb 3.49-3.74, 1 Sm 3.59, 8 La 3.60-3.80
14 Tb 0.2123 0.0672 0.5000  8 La 3.59-3.79, 1 Sm 3.61, 3 Tb 3.74-3.78
15 Tb 0.3667 0.8355 0.5000  3 Tb 3.49-3.74, 1 Sm 3.59, 8 La 3.60-3.80
16 Tb 0.5000 0.5000 0.5000  2 Tb 3.74, 4 Sm 3.76, 8 La 3.92-4.05
17 Tb 0.6333 0.1645 0.5000  3 Tb 3.49-3.74, 1 Sm 3.59, 8 La 3.60-3.80
18 Tb 0.7877 0.9328 0.5000  8 La 3.59-3.79, 1 Sm 3.61, 3 Tb 3.74-3.78
19 Tb 0.8355 0.3667 0.5000  3 Tb 3.49-3.74, 1 Sm 3.59, 8 La 3.60-3.80
20 Tb 0.9328 0.7877 0.5000  8 La 3.59-3.79, 1 Sm 3.61, 3 Tb 3.74-3.78
21 Sm 0.2430 0.4452 0.5000  6 La 3.35-3.47, 2 Tb 3.59-3.61, 2 Sm 3.74
22 Sm 0.4452 0.2430 0.5000  6 La 3.35-3.47, 2 Tb 3.59-3.61, 2 Sm 3.74
23 Sm 0.5548 0.7570 0.5000  6 La 3.35-3.47, 2 Tb 3.59-3.61, 2 Sm 3.74
24 Sm 0.7570 0.5548 0.5000  6 La 3.35-3.47, 2 Tb 3.59-3.61, 2 Sm 3.74

SG: Cmmm, No. 65
E_form, eV per atom: 0.07
Fermi-level density of states, states/eV per cell: 35.86


# 2
HfTeS4: optimized geometry, PBE.

Cell: 14.8789 3.7264 6.5807 Å, 90.00 115.80 90.00°
Closest atoms and distances in Å follow each position.
Element x y z (fractional)
1 Hf 0.0000 0.0000 0.0000  6 S 2.57
2 Hf 0.5000 0.5000 0.0000  6 S 2.57
3 Te 0.0000 0.5000 0.5000  6 S 2.65-2.66
4 Te 0.5000 0.0000 0.5000  6 S 2.65-2.66
5 S 0.1066 0.5000 0.2648  2 Hf 2.57, 1 Te 2.65
6 S 0.1104 0.0000 0.7901  1 Hf 2.57, 2 Te 2.66
7 S 0.3896 0.5000 0.2099  1 Hf 2.57, 2 Te 2.66
8 S 0.3934 0.0000 0.7352  2 Hf 2.57, 1 Te 2.65
9 S 0.6066 0.0000 0.2648  2 Hf 2.57, 1 Te 2.65
10 S 0.6105 0.5000 0.7901  1 Hf 2.57, 2 Te 2.66
11 S 0.8896 0.0000 0.2099  1 Hf 2.57, 2 Te 2.66
12 S 0.8934 0.5000 0.7352  2 Hf 2.57, 1 Te 2.65

SG: C2/m, No. 12
Formation energy (no corrections), eV/atom: -0.74


# 3
Ce2ZnBi: optimized geometry, PBE.

Cell: 4.9397 4.9397 4.4170 Å, 90.00 90.00 90.00°
Closest atoms and distances in Å follow each position.
Element x y z (fractional)
1 Ce 0.0000 0.5000 0.0000  4 Bi 3.31, 4 Zn 3.31, 4 Ce 3.49
2 Ce 0.5000 0.0000 0.0000  4 Bi 3.31, 4 Zn 3.31, 4 Ce 3.49
3 Zn 0.0000 0.0000 0.5000  8 Ce 3.31, 4 Bi 3.49
4 Bi 0.5000 0.5000 0.5000  8 Ce 3.31, 4 Zn 3.49

SG: P4/mmm, No. 123
Excess energy over the best structure of this formula in the dataset, meV/atom: 27
E_form, eV per atom: -0.39
Fermi-level density of states, states/eV per cell: 12.81


Calculated values (eV per atom) of uncorrected energy for the records, taken in order: -4.7149; -5.6767; -4.6460.